## a
The following is a PBE calculation of Mg2AgBi2 after structural relaxation, from the Alexandria database.

Cell lengths 8.7335, 8.7335, 3.4868 Å; angles 90.00, 90.00, 90.00 degrees
Closest atoms and distances in Å follow each position.
Atoms (fractional coordinates):
Mg (0.1297, 0.6297, 0.5000)  6 Bi 3.01-3.18, 1 Mg 3.20
Mg (0.6297, 0.8703, 0.5000)  6 Bi 3.01-3.18, 1 Mg 3.20
Mg (0.8703, 0.3703, 0.5000)  6 Bi 3.01-3.18, 1 Mg 3.20
Mg (0.3703, 0.1297, 0.5000)  6 Bi 3.01-3.18, 1 Mg 3.20
Bi (0.3285, 0.8285, 0.0000)  6 Mg 3.01-3.18, 2 Ag 3.24
Bi (0.8285, 0.6715, 0.0000)  6 Mg 3.01-3.18, 2 Ag 3.24
Bi (0.6715, 0.1715, 0.0000)  6 Mg 3.01-3.18, 2 Ag 3.24
Bi (0.1715, 0.3285, 0.0000)  6 Mg 3.01-3.18, 2 Ag 3.24
Ag (0.0000, 0.0000, 0.0000)  4 Bi 3.24, 2 Ag 3.49
Ag (0.5000, 0.5000, 0.0000)  4 Bi 3.24, 2 Ag 3.49

Calculated values
As for the space group: P4/mbm, No. 127. The crystal system is tetragonal.


## b
The following is a PBE calculation of Mg2AgBi2 after structural relaxation, from the Alexandria database.

Cell lengths 4.5056, 4.5056, 7.9614 Å; angles 73.56, 73.56, 90.00 degrees
Closest atoms and distances in Å follow each position.
Atoms (fractional coordinates):
Mg (0.4030, 0.4030, 0.1940)  1 Mg 2.83
Mg (0.5970, 0.5970, 0.8060)  1 Mg 2.83
Bi (0.7500, 0.2500, 0.5000)  4 Mg 3.17, 4 Bi 3.19
Bi (0.2500, 0.7500, 0.5000)  4 Mg 3.17, 4 Bi 3.19
Ag (0.0000, 0.0000, 0.0000)  8 Mg 3.49

Calculated values
As for the space group: I4/mmm, No. 139. The crystal system is tetragonal.


Most stable structure, least stable structure: a, b.


## a
The following is a PBE calculation of Mg2Ag2Bi after structural relaxation, from the Alexandria database.

Cell lengths 8.1992, 8.1992, 3.2729 Å; angles 90.00, 90.00, 90.00 degrees
Closest atoms and distances in Å follow each position.
Atoms (fractional coordinates):
Mg (0.3515, 0.8515, 0.0000)  6 Ag 2.88-2.95, 2 Bi 3.13
Mg (0.8515, 0.6485, 0.0000)  6 Ag 2.88-2.95, 2 Bi 3.13
Mg (0.6485, 0.1485, 0.0000)  6 Ag 2.88-2.95, 2 Bi 3.13
Mg (0.1485, 0.3515, 0.0000)  6 Ag 2.88-2.95, 2 Bi 3.13
Bi (0.0000, 0.0000, 0.0000)  4 Mg 3.13, 2 Bi 3.27
Bi (0.5000, 0.5000, 0.0000)  4 Mg 3.13, 2 Bi 3.27
Ag (0.1399, 0.6399, 0.5000)  6 Mg 2.88-2.95
Ag (0.6399, 0.8601, 0.5000)  6 Mg 2.88-2.95
Ag (0.8601, 0.3601, 0.5000)  6 Mg 2.88-2.95
Ag (0.3601, 0.1399, 0.5000)  6 Mg 2.88-2.95

Calculated values
As for the space group: P4/mbm, No. 127. The crystal system is tetragonal.


## b
The following is a PBE calculation of Mg2Ag2Bi after structural relaxation, from the Alexandria database.

Cell lengths 3.9377, 3.9377, 7.9867 Å; angles 75.73, 75.73, 90.00 degrees
Closest atoms and distances in Å follow each position.
Atoms (fractional coordinates):
Mg (0.3919, 0.3919, 0.2162)  4 Ag 2.90, 4 Bi 3.22, 1 Mg 3.24
Mg (0.6081, 0.6081, 0.7838)  4 Ag 2.90, 4 Bi 3.22, 1 Mg 3.24
Bi (0.0000, 0.0000, 0.0000)  8 Mg 3.22
Ag (0.7500, 0.2500, 0.5000)  4 Ag 2.78, 4 Mg 2.90
Ag (0.2500, 0.7500, 0.5000)  4 Ag 2.78, 4 Mg 2.90

Calculated values
As for the space group: I4/mmm, No. 139. The crystal system is tetragonal.


Most stable structure, least stable structure: a, b.


## a
The following is a PBE calculation of Mg3AgBi after structural relaxation, from the Alexandria database.

Cell lengths 4.5742, 7.4356, 7.5058 Å; angles 109.32, 90.00, 90.00 degrees
Closest atoms and distances in Å follow each position.
Atoms (fractional coordinates):
Mg (0.1955, 0.0457, 0.2307)  1 Ag 2.68
Mg (0.1955, 0.3849, 0.6453)  3 Ag 2.90-2.94, 1 Bi 3.09, 1 Mg 3.17
Mg (0.1955, 0.7196, 0.4707)  3 Ag 2.89-3.00, 1 Mg 3.17, 2 Bi 3.23
Mg (0.6955, 0.0367, 0.9088)  3 Ag 2.90-2.94, 1 Bi 3.09, 1 Mg 3.17
Mg (0.6955, 0.7020, 0.0834)  3 Ag 2.89-3.00, 1 Mg 3.17, 2 Bi 3.23
Mg (0.6955, 0.3759, 0.3234)  1 Ag 2.68
Ag (0.6955, 0.6408, 0.6676)  7 Mg 2.68-3.00, 2 Ag 2.81
Ag (0.1955, 0.7807, 0.8865)  7 Mg 2.68-3.00, 2 Ag 2.81
Bi (0.6955, 0.0331, 0.4956)  9 Mg 3.05-3.37
Bi (0.1955, 0.3884, 0.0585)  9 Mg 3.05-3.37

Calculated values
As for the space group: P2_1/m, No. 11. The crystal system is monoclinic.


## b
The following is a PBE calculation of Mg3AgBi after structural relaxation, from the Alexandria database.

Cell lengths 5.5447, 5.5447, 5.5447 Å; angles 90.00, 90.00, 90.00 degrees
Closest atoms and distances in Å follow each position.
Atoms (fractional coordinates):
Mg (0.0000, 0.5000, 0.0000)  2 Bi 2.77
Mg (0.0000, 0.0000, 0.5000)  2 Bi 2.77
Mg (0.5000, 0.0000, 0.0000)  2 Bi 2.77
Bi (0.0000, 0.0000, 0.0000)  6 Mg 2.77
Ag (0.5000, 0.5000, 0.5000)  12 Mg 3.92

Calculated values
As for the space group: Pm-3m, No. 221. The crystal system is cubic.


## c
The following is a PBE calculation of Mg3AgBi after structural relaxation, from the Alexandria database.

Cell lengths 5.1153, 5.1153, 5.1153 Å; angles 90.00, 90.00, 90.00 degrees
Closest atoms and distances in Å follow each position.
Atoms (fractional coordinates):
Mg (0.0000, 0.5000, 0.0000)  2 Ag 2.56
Mg (0.0000, 0.0000, 0.5000)  2 Ag 2.56
Mg (0.5000, 0.0000, 0.0000)  2 Ag 2.56
Bi (0.5000, 0.5000, 0.5000)  12 Mg 3.62
Ag (0.0000, 0.0000, 0.0000)  6 Mg 2.56

Calculated values
As for the space group: Pm-3m, No. 221. The crystal system is cubic.


## d
The following is a PBE calculation of Mg3AgBi after structural relaxation, from the Alexandria database.

Cell lengths 6.1466, 8.6681, 9.4596 Å; angles 102.81, 90.00, 90.00 degrees
Closest atoms and distances in Å follow each position.
Atoms (fractional coordinates):
Mg (0.0065, 0.9322, 0.2333)  4 Ag 2.84-2.93, 1 Bi 3.08
Mg (0.9935, 0.0678, 0.7667)  4 Ag 2.84-2.93, 1 Bi 3.08
Mg (0.5065, 0.0678, 0.2667)  4 Ag 2.84-2.93, 1 Bi 3.08
Mg (0.4935, 0.9322, 0.7333)  4 Ag 2.84-2.93, 1 Bi 3.08
Mg (0.5036, 0.7341, 0.3777)  2 Ag 2.78-2.88, 2 Bi 2.99-3.03
Mg (0.4964, 0.2659, 0.6223)  2 Ag 2.78-2.88, 2 Bi 2.99-3.03
Mg (0.0036, 0.2659, 0.1223)  2 Ag 2.78-2.88, 2 Bi 2.99-3.03
Mg (0.9964, 0.7341, 0.8777)  2 Ag 2.78-2.88, 2 Bi 2.99-3.03
Mg (0.0180, 0.7010, 0.4651)  2 Ag 2.82-3.06, 2 Bi 2.95-3.15, 1 Mg 3.13
Mg (0.9820, 0.2990, 0.5349)  2 Ag 2.82-3.06, 2 Bi 2.95-3.15, 1 Mg 3.13
Mg (0.5180, 0.2990, 0.0349)  2 Ag 2.82-3.06, 2 Bi 2.95-3.15, 1 Mg 3.13
Mg (0.4820, 0.7010, 0.9651)  2 Ag 2.82-3.06, 2 Bi 2.95-3.15, 1 Mg 3.13
Ag (0.2410, 0.9907, 0.4984)  8 Mg 2.78-3.06, 1 Ag 2.97
Ag (0.7590, 0.0093, 0.5016)  8 Mg 2.78-3.06, 1 Ag 2.97
Ag (0.7410, 0.0093, 0.0016)  8 Mg 2.78-3.06, 1 Ag 2.97
Ag (0.2590, 0.9907, 0.9984)  8 Mg 2.78-3.06, 1 Ag 2.97
Bi (0.8190, 0.5950, 0.1436)  7 Mg 2.95-3.22
Bi (0.1810, 0.4050, 0.8564)  7 Mg 2.95-3.22
Bi (0.3190, 0.4050, 0.3564)  7 Mg 2.95-3.22
Bi (0.6810, 0.5950, 0.6436)  7 Mg 2.95-3.22

Calculated values
As for the space group: P2_1/c, No. 14. The crystal system is monoclinic.


Most stable structure, least stable structure: a, b.


## a
The following is a PBE calculation of MgAg2Bi2 after structural relaxation, from the Alexandria database.

Cell lengths 3.8735, 3.8735, 8.9911 Å; angles 77.56, 77.56, 90.00 degrees
Closest atoms and distances in Å follow each position.
Atoms (fractional coordinates):
Mg (0.0000, 0.0000, 0.0000)  8 Bi 3.31
Bi (0.3918, 0.3918, 0.2163)  4 Ag 3.11, 4 Mg 3.31
Bi (0.6082, 0.6082, 0.7837)  4 Ag 3.11, 4 Mg 3.31
Ag (0.7500, 0.2500, 0.5000)  4 Ag 2.74
Ag (0.2500, 0.7500, 0.5000)  4 Ag 2.74

Calculated values
As for the space group: I4/mmm, No. 139. The crystal system is tetragonal.


## b
The following is a PBE calculation of MgAg2Bi2 after structural relaxation, from the Alexandria database.

Cell lengths 7.4901, 7.4901, 4.3882 Å; angles 90.00, 90.00, 90.00 degrees
Closest atoms and distances in Å follow each position.
Atoms (fractional coordinates):
Mg (0.0000, 0.0000, 0.0000)  4 Ag 2.92
Mg (0.5000, 0.5000, 0.0000)  4 Ag 2.92
Bi (0.1728, 0.6728, 0.5000)  6 Ag 3.00-3.19
Bi (0.6728, 0.8272, 0.5000)  6 Ag 3.00-3.19
Bi (0.8272, 0.3272, 0.5000)  6 Ag 3.00-3.19
Bi (0.3272, 0.1728, 0.5000)  6 Ag 3.00-3.19
Ag (0.3663, 0.8663, 0.0000)  1 Ag 2.83, 2 Mg 2.92, 2 Bi 3.00
Ag (0.8663, 0.6337, 0.0000)  1 Ag 2.83, 2 Mg 2.92, 2 Bi 3.00
Ag (0.6337, 0.1337, 0.0000)  1 Ag 2.83, 2 Mg 2.92, 2 Bi 3.00
Ag (0.1337, 0.3663, 0.0000)  1 Ag 2.83, 2 Mg 2.92, 2 Bi 3.00

Calculated values
As for the space group: P4/mbm, No. 127. The crystal system is tetragonal.


Most stable structure, least stable structure: b, a.


## a
The following is a PBE calculation of MnAg2Bi2 after structural relaxation, from the Alexandria database.

Cell lengths 4.5156, 4.5156, 7.3755 Å; angles 72.17, 72.17, 90.00 degrees
Closest atoms and distances in Å follow each position.
Atoms (fractional coordinates):
Mn (0.0000, 0.0000, 0.0000)  8 Ag 3.45
Bi (0.7500, 0.2500, 0.5000)  4 Ag 3.03, 4 Bi 3.19
Bi (0.2500, 0.7500, 0.5000)  4 Ag 3.03, 4 Bi 3.19
Ag (0.4015, 0.4015, 0.1970)  1 Ag 2.62
Ag (0.5985, 0.5985, 0.8030)  1 Ag 2.62

Calculated values
As for the space group: I4/mmm, No. 139. The crystal system is tetragonal.


## b
The following is a PBE calculation of MnAg2Bi2 after structural relaxation, from the Alexandria database.

Cell lengths 3.8125, 3.8125, 8.7741 Å; angles 77.45, 77.45, 90.00 degrees
Closest atoms and distances in Å follow each position.
Atoms (fractional coordinates):
Mn (0.0000, 0.0000, 0.0000)  8 Bi 3.16
Bi (0.4017, 0.4017, 0.1965)  4 Mn 3.16, 4 Ag 3.17, 1 Bi 3.28
Bi (0.5983, 0.5983, 0.8035)  4 Mn 3.16, 4 Ag 3.17, 1 Bi 3.28
Ag (0.7500, 0.2500, 0.5000)  4 Ag 2.70
Ag (0.2500, 0.7500, 0.5000)  4 Ag 2.70

Calculated values
As for the space group: I4/mmm, No. 139. The crystal system is tetragonal.


Most stable structure, least stable structure: b, a.